This record from Alexandria describes an optimized crystal structure of La2TaAu. The functional is PBE. Values from VASP.

The structure in Quantum ESPRESSO input format:
```
&SYSTEM
  ibrav = 0, nat = 4, ntyp = 3
/
ATOMIC_SPECIES
Au 196.97 Au.upf
La 138.91 La.upf
Ta 180.95 Ta.upf
CELL_PARAMETERS angstrom
6.634 -0.003 -0.008
5.764 3.284 -0.008
2.173 0.575 4.871
ATOMIC_POSITIONS angstrom
Au 3.300 0.873 1.377
La 12.138 3.212 0.109
La 11.189 2.961 3.515
Ta 7.630 2.019 2.263
```

Summary:
Energy of formation from the pure elements in eV/atom: 0.001
Total energy in eV/cell: -24.98
Space group: Imm2
Polymorph energy (0 for the lowest one) in meV per atom: 7
M_tot in μB per formula unit: 0.0